1.
The following is a GGA-PBE calculation of a relaxed Ac5TlRh2 crystal, from the Alexandria database.

Lattice parameters (Å, degrees): 9.548 9.548 9.548 127.62 127.62 77.25
Fractional coordinates of all 16 atoms:
Ac  0.000  0.000  0.000
Ac  0.028  0.528  0.822
Ac  0.206  0.028  0.500
Ac  0.294  0.794  0.822
Ac  0.472  0.294  0.500
Ac  0.500  0.500  0.000
Ac  0.528  0.706  0.500
Ac  0.706  0.206  0.178
Ac  0.794  0.972  0.500
Ac  0.972  0.472  0.178
Tl  0.250  0.250  0.000
Tl  0.750  0.750  0.000
Rh  0.141  0.359  0.500
Rh  0.359  0.859  0.219
Rh  0.641  0.141  0.781
Rh  0.859  0.641  0.500

Properties
* magnetization: 0.0 μB/cell
* Fermi-level density of states: 10.09 states/eV/f.u.
* volume: 529.84 Å³/cell
* energy: -5.190 eV per atom

=====

2.
The following is a GGA-PBE calculation of a relaxed SmDy4Ho7 crystal, from the Alexandria database.

Lattice parameters (Å, degrees): 6.479 6.780 8.999 85.59 76.72 81.78
Fractional coordinates of all 12 atoms:
Sm  0.000  0.000  0.000
Dy  0.163  0.613  0.312
Dy  0.360  0.194  0.714
Dy  0.640  0.806  0.286
Dy  0.837  0.387  0.688
Ho  0.000  0.500  0.000
Ho  0.191  0.105  0.388
Ho  0.316  0.701  0.641
Ho  0.484  0.251  0.051
Ho  0.516  0.749  0.949
Ho  0.684  0.299  0.359
Ho  0.809  0.895  0.612

Properties
* magnetization: 0.0 μB/cell
* Fermi-level density of states: 20.14 states/eV/f.u.
* E above lowest polymorph: 0.000 eV per atom
* volume: 380.38 Å³/cell
* energy: -4.510 eV per atom

=====

3.
The following is a GGA-PBE calculation of a relaxed EuHo2Fe crystal, from the Alexandria database.

Lattice parameters (Å, degrees): 10.720 10.720 10.720 19.33 19.33 19.33
Fractional coordinates of all 4 atoms:
Eu  0.000  0.000  0.000
Ho  0.112  0.112  0.112
Ho  0.888  0.888  0.888
Fe  0.500  0.500  0.500

Properties
* magnetization: 7.0 μB/cell
* Fermi-level density of states: 4.30 states/eV/f.u.
* E above lowest polymorph: 0.217 eV per atom
* volume: 117.97 Å³/cell
* energy: -6.685 eV per atom

=====

4.
The following is a GGA-PBE calculation of a relaxed Cu2NiSb2 crystal, from the Alexandria database.

Lattice parameters (Å, degrees): 6.845 6.845 3.911 90.00 90.00 90.00
Fractional coordinates of all 10 atoms:
Cu  0.130  0.370  0.000
Cu  0.370  0.870  0.000
Cu  0.630  0.130  0.000
Cu  0.870  0.630  0.000
Ni  0.000  0.000  0.500
Ni  0.500  0.500  0.500
Sb  0.170  0.670  0.500
Sb  0.330  0.170  0.500
Sb  0.670  0.830  0.500
Sb  0.830  0.330  0.500

Properties
* magnetization: 0.0 μB/cell
* Fermi-level density of states: 2.90 states/eV/f.u.
* E above lowest polymorph: 0.013 eV per atom
* volume: 183.24 Å³/cell
* energy: -4.217 eV per atom
* energy relative to the elements, uncorrected: 0.227 eV per atom

=====

5.
The following is a GGA-PBE calculation of a relaxed Zn2InFe crystal, from the Alexandria database.

Lattice parameters (Å, degrees): 5.726 5.726 4.497 112.25 112.25 28.98
Fractional coordinates of all 4 atoms:
Zn  0.210  0.210  0.209
Zn  0.790  0.790  0.791
In  0.000  0.000  0.500
Fe  0.500  0.500  0.000

Properties
* magnetization: 2.0 μB/cell
* Fermi-level density of states: 1.84 states/eV/f.u.
* volume: 65.75 Å³/cell
* energy: -3.296 eV per atom

=====

6.
The following is a GGA-PBE calculation of a relaxed LaY7Ho3 crystal, from the Alexandria database.

Lattice parameters (Å, degrees): 6.934 5.587 9.960 90.00 108.66 90.00
Fractional coordinates of all 11 atoms:
La  0.000  0.000  0.000
Y  0.000  0.000  0.500
Y  0.147  0.500  0.788
Y  0.326  0.500  0.140
Y  0.429  0.000  0.332
Y  0.571  0.000  0.668
Y  0.674  0.500  0.860
Y  0.853  0.500  0.212
Ho  0.275  0.500  0.494
Ho  0.500  0.000  0.000
Ho  0.725  0.500  0.506

Properties
* magnetization: 0.0 μB/cell
* Fermi-level density of states: 18.53 states/eV/f.u.
* E above lowest polymorph: 0.000 eV per atom
* volume: 365.55 Å³/cell
* energy: -5.668 eV per atom

=====

7.
The following is a GGA-PBE calculation of a relaxed KHg2Cl2 crystal, from the Alexandria database.

Lattice parameters (Å, degrees): 8.657 8.657 5.176 90.00 90.00 90.00
Fractional coordinates of all 10 atoms:
K  0.000  0.000  0.000
K  0.500  0.500  0.000
Hg  0.115  0.385  0.500
Hg  0.385  0.885  0.500
Hg  0.615  0.115  0.500
Hg  0.885  0.615  0.500
Cl  0.221  0.279  0.000
Cl  0.279  0.779  0.000
Cl  0.721  0.221  0.000
Cl  0.779  0.721  0.000

Properties
* magnetization: 0.0 μB/cell
* Fermi-level density of states: 0.93 states/eV/f.u.
* E above lowest polymorph: 0.000 eV per atom
* volume: 387.92 Å³/cell
* energy: -1.858 eV per atom
* energy relative to the elements, uncorrected: -0.779 eV per atom

=====

8.
The following is a GGA-PBE calculation of a relaxed BaCu2Si2O7 crystal, from the Alexandria database.

Lattice parameters (Å, degrees): 7.001 13.291 6.979 90.00 90.00 90.00
Fractional coordinates of all 48 atoms:
Ba  0.017  0.250  0.042
Ba  0.483  0.750  0.542
Ba  0.517  0.250  0.458
Ba  0.983  0.750  0.958
Cu  0.223  0.504  0.791
Cu  0.223  0.996  0.791
Cu  0.277  0.004  0.291
Cu  0.277  0.496  0.291
Cu  0.723  0.504  0.709
Cu  0.723  0.996  0.709
Cu  0.777  0.004  0.209
Cu  0.777  0.496  0.209
Si  0.003  0.134  0.525
Si  0.003  0.366  0.525
Si  0.497  0.634  0.025
Si  0.497  0.866  0.025
Si  0.503  0.134  0.975
Si  0.503  0.366  0.975
Si  0.997  0.634  0.475
Si  0.997  0.866  0.475
O  0.071  0.116  0.746
O  0.071  0.384  0.746
O  0.091  0.750  0.487
O  0.174  0.134  0.364
O  0.174  0.366  0.364
O  0.178  0.559  0.531
O  0.178  0.941  0.531
O  0.322  0.059  0.031
O  0.322  0.441  0.031
O  0.326  0.634  0.864
O  0.326  0.866  0.864
O  0.409  0.250  0.987
O  0.429  0.616  0.246
O  0.429  0.884  0.246
O  0.571  0.116  0.754
O  0.571  0.384  0.754
O  0.591  0.750  0.013
O  0.674  0.134  0.136
O  0.674  0.366  0.136
O  0.678  0.559  0.969
O  0.678  0.941  0.969
O  0.822  0.059  0.469
O  0.822  0.441  0.469
O  0.826  0.634  0.636
O  0.826  0.866  0.636
O  0.909  0.250  0.513
O  0.929  0.616  0.254
O  0.929  0.884  0.254

Properties
* magnetization: 7.7 μB/cell
* Fermi-level density of states: 1.83 states/eV/f.u.
* volume: 649.37 Å³/cell
* energy: -6.745 eV per atom
* energy relative to the elements, uncorrected: -2.106 eV per atom